Run i
The following is a DFT calculation (PBE-GGA) of an optimized crystal structure of Nd5Y2Tm4.

CIF file:
```
data_Nd5Y2Tm4
_cell_length_a 6.633
_cell_length_b 6.667
_cell_length_c 9.055
_cell_angle_alpha 68.86
_cell_angle_beta 78.11
_cell_angle_gamma 85.13
_symmetry_space_group_name_H-M 'P 1'
_symmetry_Int_Tables_number 1
_symmetry_space_group_name_Hall 'P 1'
loop_
_atom_site_label
_atom_site_type_symbol
_atom_site_fract_x
_atom_site_fract_y
_atom_site_fract_z
Nd1 Nd 0.000 0.000 0.000
Nd2 Nd 0.193 0.862 0.360
Nd3 Nd 0.292 0.333 0.605
Nd4 Nd 0.708 0.667 0.395
Nd5 Nd 0.807 0.138 0.640
Y1 Y 0.093 0.426 0.201
Y2 Y 0.907 0.574 0.799
Tm1 Tm 0.393 0.788 0.702
Tm2 Tm 0.471 0.270 0.954
Tm3 Tm 0.529 0.730 0.046
Tm4 Tm 0.607 0.212 0.298
```

Properties
D(E_F), states/eV/cell: 17.66
Total magnetization, μB/cell: 0.00

---

Run ii
The following is a DFT calculation (PBE-GGA) of an optimized crystal structure of Nd5Y2Tm4.

CIF file:
```
data_Nd5Y2Tm4
_cell_length_a 12.795
_cell_length_b 12.795
_cell_length_c 12.795
_cell_angle_alpha 164.16
_cell_angle_beta 138.53
_cell_angle_gamma 44.66
_symmetry_space_group_name_H-M 'P 1'
_symmetry_Int_Tables_number 1
_symmetry_space_group_name_Hall 'P 1'
loop_
_atom_site_label
_atom_site_type_symbol
_atom_site_fract_x
_atom_site_fract_y
_atom_site_fract_z
Nd1 Nd 0.000 0.000 0.000
Nd2 Nd 0.055 0.356 0.699
Nd3 Nd 0.342 0.644 0.699
Nd4 Nd 0.658 0.356 0.301
Nd5 Nd 0.945 0.644 0.301
Y1 Y 0.269 0.769 0.500
Y2 Y 0.731 0.231 0.500
Tm1 Tm 0.317 0.500 0.817
Tm2 Tm 0.404 0.904 0.500
Tm3 Tm 0.596 0.096 0.500
Tm4 Tm 0.683 0.500 0.183
```

Properties
D(E_F), states/eV/cell: 17.79
Total magnetization, μB/cell: 0.00

---

Which structure is most stable, and how do the rest compare? From most to least stable: run i, run ii.

---

Run i
The following is a DFT calculation (PBE-GGA) of an optimized crystal structure of NdY2Tm3.

CIF file:
```
data_NdY2Tm3
_cell_length_a 8.066
_cell_length_b 8.066
_cell_length_c 6.330
_cell_angle_alpha 90.00
_cell_angle_beta 90.00
_cell_angle_gamma 108.68
_symmetry_space_group_name_H-M 'P 1'
_symmetry_Int_Tables_number 1
_symmetry_space_group_name_Hall 'P 1'
loop_
_atom_site_label
_atom_site_type_symbol
_atom_site_fract_x
_atom_site_fract_y
_atom_site_fract_z
Nd1 Nd 0.175 0.825 0.500
Nd2 Nd 0.825 0.175 0.000
Y1 Y 0.260 0.374 0.275
Y2 Y 0.374 0.260 0.775
Y3 Y 0.626 0.740 0.275
Y4 Y 0.740 0.626 0.775
Tm1 Tm 0.082 0.918 0.026
Tm2 Tm 0.121 0.517 0.828
Tm3 Tm 0.483 0.879 0.828
Tm4 Tm 0.517 0.121 0.328
Tm5 Tm 0.879 0.483 0.328
Tm6 Tm 0.918 0.082 0.526
```

Properties
D(E_F), states/eV/cell: 17.70
Total magnetization, μB/cell: 0.00

---

Run ii
The following is a DFT calculation (PBE-GGA) of an optimized crystal structure of NdY2Tm3.

CIF file:
```
data_NdY2Tm3
_cell_length_a 9.389
_cell_length_b 9.389
_cell_length_c 6.141
_cell_angle_alpha 90.17
_cell_angle_beta 90.17
_cell_angle_gamma 44.44
_symmetry_space_group_name_H-M 'P 1'
_symmetry_Int_Tables_number 1
_symmetry_space_group_name_Hall 'P 1'
loop_
_atom_site_label
_atom_site_type_symbol
_atom_site_fract_x
_atom_site_fract_y
_atom_site_fract_z
Nd1 Nd 0.124 0.876 0.750
Nd2 Nd 0.876 0.124 0.250
Y1 Y 0.208 0.458 0.583
Y2 Y 0.458 0.208 0.083
Y3 Y 0.542 0.792 0.917
Y4 Y 0.792 0.542 0.417
Tm1 Tm 0.042 0.293 0.917
Tm2 Tm 0.293 0.042 0.417
Tm3 Tm 0.376 0.624 0.250
Tm4 Tm 0.624 0.376 0.750
Tm5 Tm 0.707 0.958 0.583
Tm6 Tm 0.958 0.707 0.083
```

Properties
D(E_F), states/eV/cell: 17.97
Total magnetization, μB/cell: 0.00

---

Which structure is most stable, and how do the rest compare? From most to least stable: run ii, run i.

---

Run i
The following is a DFT calculation (PBE-GGA) of an optimized crystal structure of Nd6Y5Tm.

CIF file:
```
data_Nd6Y5Tm
_cell_length_a 6.287
_cell_length_b 6.287
_cell_length_c 11.869
_cell_angle_alpha 95.05
_cell_angle_beta 95.05
_cell_angle_gamma 119.99
_symmetry_space_group_name_H-M 'P 1'
_symmetry_Int_Tables_number 1
_symmetry_space_group_name_Hall 'P 1'
loop_
_atom_site_label
_atom_site_type_symbol
_atom_site_fract_x
_atom_site_fract_y
_atom_site_fract_z
Nd1 Nd 0.083 0.415 0.249
Nd2 Nd 0.250 0.250 0.751
Nd3 Nd 0.415 0.083 0.249
Nd4 Nd 0.585 0.917 0.751
Nd5 Nd 0.750 0.750 0.249
Nd6 Nd 0.917 0.585 0.751
Y1 Y 0.167 0.833 0.500
Y2 Y 0.333 0.667 0.000
Y3 Y 0.500 0.500 0.500
Y4 Y 0.667 0.333 0.000
Y5 Y 0.833 0.167 0.500
Tm1 Tm 0.000 0.000 0.000
```

Properties
D(E_F), states/eV/cell: 13.82
Total magnetization, μB/cell: 0.00

---

Run ii
The following is a DFT calculation (PBE-GGA) of an optimized crystal structure of Nd6Y5Tm.

CIF file:
```
data_Nd6Y5Tm
_cell_length_a 9.572
_cell_length_b 9.572
_cell_length_c 9.572
_cell_angle_alpha 148.80
_cell_angle_beta 116.07
_cell_angle_gamma 72.85
_symmetry_space_group_name_H-M 'P 1'
_symmetry_Int_Tables_number 1
_symmetry_space_group_name_Hall 'P 1'
loop_
_atom_site_label
_atom_site_type_symbol
_atom_site_fract_x
_atom_site_fract_y
_atom_site_fract_z
Nd1 Nd 0.083 0.334 0.749
Nd2 Nd 0.248 0.000 0.248
Nd3 Nd 0.415 0.666 0.749
Nd4 Nd 0.585 0.334 0.251
Nd5 Nd 0.752 0.000 0.752
Nd6 Nd 0.917 0.666 0.251
Y1 Y 0.166 0.166 0.000
Y2 Y 0.334 0.834 0.500
Y3 Y 0.500 0.500 0.000
Y4 Y 0.666 0.166 0.500
Y5 Y 0.834 0.834 0.000
Tm1 Tm 0.000 0.500 0.500
```

Properties
D(E_F), states/eV/cell: 16.76
Total magnetization, μB/cell: 0.00

---

Which structure is most stable, and how do the rest compare? From most to least stable: run i, run ii.

---

Run i
The following is a DFT calculation (PBE-GGA) of an optimized crystal structure of Nd5Y3Tm.

CIF file:
```
data_Nd5Y3Tm
_cell_length_a 9.661
_cell_length_b 9.661
_cell_length_c 9.943
_cell_angle_alpha 120.37
_cell_angle_beta 120.37
_cell_angle_gamma 74.86
_symmetry_space_group_name_H-M 'P 1'
_symmetry_Int_Tables_number 1
_symmetry_space_group_name_Hall 'P 1'
loop_
_atom_site_label
_atom_site_type_symbol
_atom_site_fract_x
_atom_site_fract_y
_atom_site_fract_z
Nd1 Nd 0.097 0.603 0.260
Nd2 Nd 0.228 0.228 0.238
Nd3 Nd 0.247 0.753 0.000
Nd4 Nd 0.275 0.275 0.953
Nd5 Nd 0.397 0.903 0.740
Nd6 Nd 0.603 0.097 0.260
Nd7 Nd 0.725 0.725 0.047
Nd8 Nd 0.753 0.247 0.000
Nd9 Nd 0.772 0.772 0.762
Nd10 Nd 0.903 0.397 0.740
Y1 Y 0.000 0.000 0.500
Y2 Y 0.008 0.008 0.825
Y3 Y 0.485 0.485 0.648
Y4 Y 0.500 0.500 0.000
Y5 Y 0.515 0.515 0.352
Y6 Y 0.992 0.992 0.175
Tm1 Tm 0.248 0.248 0.594
Tm2 Tm 0.752 0.752 0.406
```

Properties
D(E_F), states/eV/cell: 28.90
Total magnetization, μB/cell: 0.00

---

Run ii
The following is a DFT calculation (PBE-GGA) of an optimized crystal structure of Nd5Y3Tm.

CIF file:
```
data_Nd5Y3Tm
_cell_length_a 10.566
_cell_length_b 10.566
_cell_length_c 11.805
_cell_angle_alpha 121.12
_cell_angle_beta 121.12
_cell_angle_gamma 34.73
_symmetry_space_group_name_H-M 'P 1'
_symmetry_Int_Tables_number 1
_symmetry_space_group_name_Hall 'P 1'
loop_
_atom_site_label
_atom_site_type_symbol
_atom_site_fract_x
_atom_site_fract_y
_atom_site_fract_z
Nd1 Nd 0.033 0.692 0.340
Nd2 Nd 0.090 0.910 0.750
Nd3 Nd 0.141 0.500 0.668
Nd4 Nd 0.308 0.967 0.160
Nd5 Nd 0.500 0.141 0.168
Nd6 Nd 0.500 0.859 0.832
Nd7 Nd 0.692 0.033 0.840
Nd8 Nd 0.859 0.500 0.332
Nd9 Nd 0.910 0.090 0.250
Nd10 Nd 0.967 0.308 0.660
Y1 Y 0.102 0.547 0.973
Y2 Y 0.453 0.898 0.527
Y3 Y 0.500 0.500 0.000
Y4 Y 0.500 0.500 0.500
Y5 Y 0.547 0.102 0.473
Y6 Y 0.898 0.453 0.027
Tm1 Tm 0.401 0.599 0.250
Tm2 Tm 0.599 0.401 0.750
```

Properties
D(E_F), states/eV/cell: 24.94
Total magnetization, μB/cell: 0.00

---

Which structure is most stable, and how do the rest compare? From most to least stable: run ii, run i.